Here is PmSmDyEr after structural relaxation from Alexandria. Energies are from PBE-GGA.

Values from the calculation:
ΔH_f (0 K) ... 0.02 eV/atom
Distance to the lowest polymorph of the same formula ... 0.0 meV per atom
DOS(E_F) ... 6.4 states/eV/f.u.

Structure (CIF):
```
data_PmSmDyEr
_space_group_name_H-M_alt 'P m m m'
_space_group_IT_number 47
_cell_length_a 5.034
_cell_length_b 5.076
_cell_length_c 5.079
_cell_angle_alpha 90.00
_cell_angle_beta 90.00
_cell_angle_gamma 90.00
loop_
_space_group_symop_operation_xyz
'x,y,z'
'-x,-y,-z'
'-x,-y,z'
'x,y,-z'
'x,-y,-z'
'-x,y,z'
'-x,y,-z'
'x,-y,z'
loop_
_atom_site_label
_atom_site_fract_x
_atom_site_fract_y
_atom_site_fract_z
Pm1 0.000 0.000 0.000
Sm1 0.000 0.500 0.500
Dy1 0.500 0.000 0.500
Er1 0.500 0.500 0.000
```

---

Here is Na2ZrAg2Te4 after structural relaxation from Alexandria. Energies are from PBE-GGA.

Values from the calculation:
DOS(E_F) ... 1.2 states/eV/f.u.
Final energy ... -3.899 eV/atom

Structure (CIF):
```
data_Na2ZrAg2Te4
_space_group_name_H-M_alt 'C 1 2/m 1'
_space_group_IT_number 12
_cell_length_a 16.069
_cell_length_b 4.260
_cell_length_c 8.081
_cell_angle_alpha 90.00
_cell_angle_beta 114.67
_cell_angle_gamma 90.00
loop_
_space_group_symop_operation_xyz
'x,y,z'
'-x,-y,-z'
'-x,y,-z'
'x,-y,z'
'x+1/2,y+1/2,z'
'-x+1/2,-y+1/2,-z'
'-x+1/2,y+1/2,-z'
'x+1/2,-y+1/2,z'
loop_
_atom_site_label
_atom_site_fract_x
_atom_site_fract_y
_atom_site_fract_z
Na1 0.136 0.000 0.092
Zr1 0.000 0.000 0.500
Ag1 0.182 0.500 0.477
Te1 0.003 0.500 0.759
Te2 0.202 0.000 0.725
```

---

Here is SeF after structural relaxation from Alexandria. Energies are from PBE-GGA.

Values from the calculation:
Distance to the lowest polymorph of the same formula ... 65.5 meV per atom

Structure (CIF):
```
data_SeF
_space_group_name_H-M_alt 'P 1'
_space_group_IT_number 1
_cell_length_a 4.984
_cell_length_b 6.153
_cell_length_c 6.497
_cell_angle_alpha 101.77
_cell_angle_beta 101.39
_cell_angle_gamma 112.30
loop_
_space_group_symop_operation_xyz
'x,y,z'
loop_
_atom_site_label
_atom_site_fract_x
_atom_site_fract_y
_atom_site_fract_z
Se1 0.000 0.000 0.000
Se2 0.210 0.648 0.476
Se3 0.549 0.585 0.753
Se4 0.760 0.385 0.504
F1 0.072 0.048 0.736
F2 0.172 0.769 0.000
F3 0.732 0.142 0.961
F4 0.838 0.891 0.220
```

---

Here is Y12Tm6In after structural relaxation from Alexandria. Energies are from PBE-GGA.

Values from the calculation:
ΔH_f (0 K) ... 0.11 eV/atom
Distance to the lowest polymorph of the same formula ... 41.7 meV per atom
DOS(E_F) ... 36.6 states/eV/f.u.

Structure (CIF):
```
data_Y12Tm6In
_space_group_name_H-M_alt 'R -3 m'
_space_group_IT_number 166
_space_group_name_Hall '-R 3 2"'
_cell_length_a 12.8606
_cell_length_b 12.8606
_cell_length_c 12.7155
_cell_angle_alpha 90.00
_cell_angle_beta 90.00
_cell_angle_gamma 120.00
loop_
_atom_site_label
_atom_site_fract_x
_atom_site_fract_y
_atom_site_fract_z
Y1 0.0000 0.2598 0.0000
Y2 0.0632 0.5316 0.1094
Tm1 0.0903 0.1806 0.7738
In1 0.0000 0.0000 0.0000
```

---

Here is LiSi2Se after structural relaxation from Alexandria. Energies are from PBE-GGA.

Values from the calculation:
DOS(E_F) ... 1.0 states/eV/f.u.
Final energy ... -4.207 eV/atom

Structure (CIF):
```
data_LiSi2Se
_space_group_name_H-M_alt 'P 1 m 1'
_space_group_IT_number 6
_cell_length_a 2.792
_cell_length_b 4.026
_cell_length_c 6.991
_cell_angle_alpha 90.00
_cell_angle_beta 90.03
_cell_angle_gamma 90.00
loop_
_space_group_symop_operation_xyz
'x,y,z'
'x,-y,z'
loop_
_atom_site_label
_atom_site_fract_x
_atom_site_fract_y
_atom_site_fract_z
Li1 0.000 0.000 0.000
Si1 0.498 0.500 0.513
Si2 0.500 0.000 0.335
Se1 0.499 0.500 0.856
```

---

Here is SrNd2YS4 after structural relaxation from Alexandria. Energies are from PBE-GGA.

Values from the calculation:
DOS(E_F) ... 3.0 states/eV/f.u.
Final energy ... -6.287 eV/atom

Structure (CIF):
```
data_SrNd2YS4
_space_group_name_H-M_alt 'P 1 2/m 1'
_space_group_IT_number 10
_cell_length_a 7.051
_cell_length_b 4.046
_cell_length_c 7.083
_cell_angle_alpha 90.00
_cell_angle_beta 109.03
_cell_angle_gamma 90.00
loop_
_space_group_symop_operation_xyz
'x,y,z'
'-x,-y,-z'
'-x,y,-z'
'x,-y,z'
loop_
_atom_site_label
_atom_site_fract_x
_atom_site_fract_y
_atom_site_fract_z
Sr1 0.000 0.000 0.000
Nd1 0.000 0.500 0.500
Nd2 0.500 0.000 0.500
Y1 0.500 0.500 0.000
S1 0.259 0.500 0.249
S2 0.261 0.000 0.758
```